Compound: K2LiWS4
Source: Alexandria
Functional: PBE
Structure: optimized geometry

Unit cell a=5.773 b=7.215 c=12.102 alpha=84.53 beta=76.20 gamma=66.42
Each line ends with the local moment (μB).
Fractional positions:
S 0.525 0.301 0.607  0.01
S 0.174 0.301 0.393  0.01
S 0.883 0.801 0.893  0.01
S 0.433 0.699 0.393  0.01
S 0.317 0.801 0.107  0.01
S 0.225 0.199 0.893  0.01
S 0.867 0.699 0.607  0.01
S 0.576 0.199 0.107  0.01
W 0.250 0.500 0.500  0.65
W 0.500 0.000 0.000  0.65
K 0.179 0.000 0.641  0.00
K 0.571 0.500 0.859  0.00
K 0.821 0.000 0.359  0.00
K 0.929 0.500 0.141  0.00
Li 0.000 0.000 0.000  0.00
Li 0.750 0.500 0.500  0.00

Values from the calculation:
E_form (uncorrected) = -938.0 meV per atom
total magnetic moment = 0.13 μB per atom